<A>
## Tc2Ni2Hg (PBE-GGA)

Data for a geometry-optimized Tc2Ni2Hg structure.

a = 7.4345 Å, b = 7.4345 Å, c = 2.6764 Å
α = 90.00°, β = 90.00°, γ = 90.00°
Fractional coordinates of all 10 atoms:
Ni: 0.1676 0.3324 0.0000
Ni: 0.6676 0.1676 0.0000
Ni: 0.8324 0.6676 0.0000
Ni: 0.3324 0.8324 0.0000
Tc: 0.1207 0.6207 0.5000
Tc: 0.3793 0.1207 0.5000
Tc: 0.6207 0.8793 0.5000
Tc: 0.8793 0.3793 0.5000
Hg: 0.5000 0.5000 0.0000
Hg: 0.0000 0.0000 0.0000

Summary:
- crystal system = tetragonal
- space-group type = No. 127

<B>
## Tc2Ni2Hg (PBE-GGA)

Data for a geometry-optimized Tc2Ni2Hg structure.

a = 3.5535 Å, b = 3.5535 Å, c = 6.5506 Å
α = 74.26°, β = 74.26°, γ = 90.00°
Fractional coordinates of all 5 atoms:
Ni: 0.4022 0.4022 0.1956
Ni: 0.5978 0.5978 0.8044
Tc: 0.2500 0.7500 0.5000
Tc: 0.7500 0.2500 0.5000
Hg: 0.0000 0.0000 0.0000

Summary:
- crystal system = tetragonal
- space-group type = No. 139

Most favorable structure: <A>. The second most favorable one is 3.3 kJ/mol of atoms above it.

<A>
## TcNiHg (PBE-GGA)

Data for a geometry-optimized TcNiHg structure.

a = 4.1719 Å, b = 4.1719 Å, c = 4.1719 Å
α = 60.00°, β = 60.00°, γ = 60.00°
Last column: magnetic moment on the atom in μB.
Fractional coordinates of all 3 atoms:
Tc: 0.0000 0.0000 0.0000  0.88
Ni: 0.7500 0.7500 0.7500  0.21
Hg: 0.5000 0.5000 0.5000  -0.02

Summary:
- crystal system = cubic
- space-group type = No. 216

<B>
## TcNiHg (PBE-GGA)

Data for a geometry-optimized TcNiHg structure.

a = 6.0711 Å, b = 6.0712 Å, c = 2.8422 Å
α = 76.46°, β = 76.47°, γ = 27.07°
Fractional coordinates of all 3 atoms:
Tc: 0.6873 0.6873 0.3127
Hg: 0.9939 0.9939 0.0061
Ni: 0.3188 0.3188 0.6812

Summary:
- crystal system = tetragonal
- space-group type = No. 107

Most favorable structure: <B>. The second most favorable one is 34.2 kJ/mol of atoms above it.

<A>
## Ni2HgTe (PBE-GGA)

Data for a geometry-optimized Ni2HgTe structure.

a = 4.6485 Å, b = 4.6485 Å, c = 4.6485 Å
α = 60.00°, β = 60.00°, γ = 60.00°
Fractional coordinates of all 4 atoms:
Te: 0.2500 0.2500 0.2500
Ni: 0.7500 0.7500 0.7500
Ni: 0.0000 0.0000 0.0000
Hg: 0.5000 0.5000 0.5000

Summary:
- crystal system = cubic
- space-group type = No. 216

<B>
## Ni2HgTe (PBE-GGA)

Data for a geometry-optimized Ni2HgTe structure.

a = 3.2994 Å, b = 3.2994 Å, c = 7.0462 Å
α = 90.00°, β = 90.00°, γ = 90.00°
Fractional coordinates of all 4 atoms:
Ni: 0.0000 0.0000 0.0390
Ni: 0.5000 0.5000 0.2288
Te: 0.0000 0.0000 0.3920
Hg: 0.5000 0.5000 0.8401

Summary:
- crystal system = tetragonal
- space-group type = No. 99

Most favorable structure: <B>. The second most favorable one is 45.0 kJ/mol of atoms above it.

<A>
## Ni2HgTe (PBE-GGA)

Data for a geometry-optimized Ni2HgTe structure.

a = 4.5655 Å, b = 4.5655 Å, c = 4.5655 Å
α = 60.00°, β = 60.00°, γ = 60.00°
Fractional coordinates of all 4 atoms:
Te: 0.0000 0.0000 0.0000
Ni: 0.2500 0.2500 0.2500
Ni: 0.7500 0.7500 0.7500
Hg: 0.5000 0.5000 0.5000

Summary:
- crystal system = cubic
- space-group type = No. 225

<B>
## Ni2HgTe (PBE-GGA)

Data for a geometry-optimized Ni2HgTe structure.

a = 4.2055 Å, b = 4.2055 Å, c = 6.4019 Å
α = 95.80°, β = 95.80°, γ = 48.44°
Fractional coordinates of all 4 atoms:
Hg: 0.6604 0.6604 0.8467
Te: 0.5938 0.5938 0.3691
Ni: 0.2773 0.2773 0.2083
Ni: 0.9685 0.9685 0.0759

Summary:
- crystal system = monoclinic
- space-group type = No. 8

Most favorable structure: <B>. The second most favorable one is 15.0 kJ/mol of atoms above it.

<A>
## Ni2HgTe (PBE-GGA)

Data for a geometry-optimized Ni2HgTe structure.

a = 4.5065 Å, b = 4.5065 Å, c = 8.6812 Å
α = 74.96°, β = 74.96°, γ = 90.00°
Fractional coordinates of all 8 atoms:
Ni: 0.3750 0.4528 0.7500
Ni: 0.5472 0.1250 0.2500
Ni: 0.2028 0.6250 0.2500
Ni: 0.8750 0.7972 0.7500
Te: 0.2500 0.7500 0.5000
Te: 0.5000 0.5000 0.0000
Hg: 0.7500 0.2500 0.5000
Hg: 0.0000 0.0000 0.0000

Summary:
- crystal system = tetragonal
- space-group type = No. 122

<B>
## Ni2HgTe (PBE-GGA)

Data for a geometry-optimized Ni2HgTe structure.

a = 7.2031 Å, b = 4.5331 Å, c = 3.2660 Å
α = 90.07°, β = 62.94°, γ = 129.10°
Fractional coordinates of all 4 atoms:
Ni: 0.0000 0.0000 0.0000
Ni: 0.5000 0.0000 0.5000
Te: 0.0000 0.5000 0.5000
Hg: 0.5000 0.5000 0.0000

Summary:
- crystal system = orthorhombic
- space-group type = No. 65

Most favorable structure: <B>. The second most favorable one is 5.8 kJ/mol of atoms above it.

<A>
## Ni2HgTe (PBE-GGA)

Data for a geometry-optimized Ni2HgTe structure.

a = 5.4419 Å, b = 5.4419 Å, c = 5.4419 Å
α = 139.07°, β = 139.07°, γ = 59.27°
Fractional coordinates of all 4 atoms:
Hg: 0.7500 0.2500 0.5000
Ni: 0.2500 0.7500 0.5000
Ni: 0.0000 0.0000 0.0000
Te: 0.5000 0.5000 0.0000

Summary:
- crystal system = tetragonal
- space-group type = No. 119

<B>
## Ni2HgTe (PBE-GGA)

Data for a geometry-optimized Ni2HgTe structure.

a = 6.2056 Å, b = 6.2056 Å, c = 6.2056 Å
α = 151.18°, β = 141.19°, γ = 49.05°
Fractional coordinates of all 4 atoms:
Hg: 0.2826 0.7826 0.5000
Ni: 0.9410 0.9410 0.0000
Ni: 0.7322 0.2322 0.5000
Te: 0.5442 0.5442 0.0000

Summary:
- crystal system = orthorhombic
- space-group type = No. 44

Most favorable structure: <B>. The second most favorable one is 10.2 kJ/mol of atoms above it.